Ba2YMo3O12: optimized geometry, GGA+U.

## Properties
Raw total energy in eV per atom: -7.21
Crystal system: trigonal

Cell: 7.1958 7.1958 7.1958 Å, 62.84 62.84 62.84°
Element x y z (fractional)
1 Ba 0.1311 0.1311 0.1311
2 Ba 0.8689 0.8689 0.8689
3 Y 0.5000 0.5000 0.5000
4 Mo 0.0000 0.5000 0.5000
5 Mo 0.5000 0.0000 0.5000
6 Mo 0.5000 0.5000 0.0000
7 O 0.1142 0.6102 0.6102
8 O 0.2091 0.2091 0.5839
9 O 0.2091 0.5839 0.2091
10 O 0.3898 0.3898 0.8858
11 O 0.3898 0.8858 0.3898
12 O 0.4161 0.7909 0.7909
13 O 0.5839 0.2091 0.2091
14 O 0.6102 0.1142 0.6102
15 O 0.6102 0.6102 0.1142
16 O 0.7909 0.4161 0.7909
17 O 0.7909 0.7909 0.4161
18 O 0.8858 0.3898 0.3898